# 1
Crystalline BiIr7 at its relaxed geometry, computed with PBE.

abc: 2.8124 2.8124 43.3121
angles: 90.00 90.00 90.00
Closest atoms and distances in Å follow each position.
Atoms (fractional coordinates):
Bi (0.2500, 0.2500, 0.1623)  4 Bi 2.81, 4 Ir 3.09
Bi (0.7500, 0.7500, 0.8377)  4 Bi 2.81, 4 Ir 3.09
Ir (0.2500, 0.2500, 0.2592)  12 Ir 2.70-2.81
Ir (0.2500, 0.2500, 0.3469)  12 Ir 2.74-2.81
Ir (0.2500, 0.2500, 0.4341)  12 Ir 2.74-2.81
Ir (0.2500, 0.2500, 0.5220)  12 Ir 2.75-2.81
Ir (0.2500, 0.2500, 0.6096)  12 Ir 2.74-2.81
Ir (0.2500, 0.2500, 0.6969)  12 Ir 2.75-2.81
Ir (0.2500, 0.2500, 0.7831)  8 Ir 2.70-2.81
Ir (0.7500, 0.7500, 0.2169)  8 Ir 2.70-2.81
Ir (0.7500, 0.7500, 0.3031)  12 Ir 2.75-2.81
Ir (0.7500, 0.7500, 0.3904)  12 Ir 2.74-2.81
Ir (0.7500, 0.7500, 0.4780)  12 Ir 2.75-2.81
Ir (0.7500, 0.7500, 0.5659)  12 Ir 2.74-2.81
Ir (0.7500, 0.7500, 0.6531)  12 Ir 2.74-2.81
Ir (0.7500, 0.7500, 0.7408)  12 Ir 2.70-2.81

Computed properties:
SG ... No. 129
DFT total energy ... -8.0274 eV/atom
Total magnetization ... 0.01 Bohr magnetons per cell

# 2
Crystalline KBi5Ir3 at its relaxed geometry, computed with PBE.

abc: 5.8832 5.8832 8.9210
angles: 90.00 90.00 120.00
Closest atoms and distances in Å follow each position.
Atoms (fractional coordinates):
K (0.0000, 0.0000, 0.0000)  14 Bi 4.06-4.46
Bi (0.0000, 0.0000, 0.5000)  6 Ir 2.94
Bi (0.3333, 0.6667, 0.2488)  3 Ir 2.81
Bi (0.3333, 0.6667, 0.7512)  3 Ir 2.81
Bi (0.6667, 0.3333, 0.2488)  3 Ir 2.81
Bi (0.6667, 0.3333, 0.7512)  3 Ir 2.81
Ir (0.0000, 0.5000, 0.5000)  6 Bi 2.81-2.94, 4 Ir 2.94
Ir (0.5000, 0.0000, 0.5000)  6 Bi 2.81-2.94, 4 Ir 2.94
Ir (0.5000, 0.5000, 0.5000)  6 Bi 2.81-2.94, 4 Ir 2.94

Computed properties:
SG ... No. 191
DFT total energy ... -5.3010 eV/atom
Total magnetization ... 0.00 Bohr magnetons per cell

# 3
Crystalline LiLaBiIr at its relaxed geometry, computed with PBE.

abc: 4.9326 4.9326 4.9326
angles: 60.00 60.00 60.00
Closest atoms and distances in Å follow each position.
Atoms (fractional coordinates):
Li (0.0000, 0.0000, 0.0000)  4 La 3.02, 4 Bi 3.02
La (0.2500, 0.2500, 0.2500)  4 Li 3.02, 4 Ir 3.02
Bi (0.7500, 0.7500, 0.7500)  4 Li 3.02, 4 Ir 3.02
Ir (0.5000, 0.5000, 0.5000)  4 La 3.02, 4 Bi 3.02

Computed properties:
SG ... No. 216
Distance to the lowest polymorph of the same formula ... 0 meV per atom
Total magnetization ... 0.00 Bohr magnetons per cell

# 4
Crystalline LiLaBiIr at its relaxed geometry, computed with PBE.

abc: 5.0846 5.0846 5.0846
angles: 60.00 60.00 60.00
Closest atoms and distances in Å follow each position.
Atoms (fractional coordinates):
Li (0.0000, 0.0000, 0.0000)  4 Ir 3.11, 4 Bi 3.11
La (0.5000, 0.5000, 0.5000)  4 Ir 3.11, 4 Bi 3.11
Bi (0.2500, 0.2500, 0.2500)  4 La 3.11, 4 Li 3.11
Ir (0.7500, 0.7500, 0.7500)  4 La 3.11, 4 Li 3.11

Computed properties:
SG ... No. 216
Distance to the lowest polymorph of the same formula ... 312 meV per atom
Total magnetization ... 0.01 Bohr magnetons per cell

# 5
Crystalline LiLaBiIr at its relaxed geometry, computed with PBE.

abc: 4.9662 4.9662 4.9662
angles: 60.00 60.00 60.00
Closest atoms and distances in Å follow each position.
Atoms (fractional coordinates):
Li (0.0000, 0.0000, 0.0000)  4 Ir 3.04, 4 La 3.04
La (0.2500, 0.2500, 0.2500)  4 Bi 3.04, 4 Li 3.04
Bi (0.5000, 0.5000, 0.5000)  4 La 3.04, 4 Ir 3.04
Ir (0.7500, 0.7500, 0.7500)  4 Li 3.04, 4 Bi 3.04

Computed properties:
SG ... No. 216
Distance to the lowest polymorph of the same formula ... 303 meV per atom
Total magnetization ... 0.00 Bohr magnetons per cell

# 6
Crystalline NaLaBiIr at its relaxed geometry, computed with PBE.

abc: 5.0900 5.0900 5.0900
angles: 60.00 60.00 60.00
Closest atoms and distances in Å follow each position.
Atoms (fractional coordinates):
Na (0.0000, 0.0000, 0.0000)  4 Ir 3.12, 4 La 3.12
La (0.2500, 0.2500, 0.2500)  4 Bi 3.12, 4 Na 3.12
Bi (0.5000, 0.5000, 0.5000)  4 La 3.12, 4 Ir 3.12
Ir (0.7500, 0.7500, 0.7500)  4 Na 3.12, 4 Bi 3.12

Computed properties:
SG ... No. 216
Distance to the lowest polymorph of the same formula ... 317 meV per atom
Total magnetization ... 0.00 Bohr magnetons per cell